Density functional theory data (PBE) for a relaxed LiZnCr4 crystal.

E_form ... 0.469 eV/atom

Cell: 6.765 6.765 6.765 Å, 90.00 90.00 90.00°
Space group F-43m (No. 216)
Symmetry-distinct sites (fractional):
Li: 0.000 0.000 0.000 x4
Zn: 0.250 0.250 0.750 x4
Cr: 0.126 0.126 0.374 x16